Compound: Mg2ScIn
Source: Alexandria
Functional: SCAN
Structure: single point on PBEsol structure

The structure in CIF format:
```
data_Mg2ScIn
_cell_length_a 7.0034
_cell_length_b 7.0034
_cell_length_c 7.0034
_cell_angle_alpha 90.00
_cell_angle_beta 90.00
_cell_angle_gamma 90.00
_space_group_name_H-M_alt 'F -4 3 m'
_space_group_IT_number 216
_space_group_name_Hall 'F -4 2 3'
loop_
_atom_site_label
_atom_site_type_symbol
_atom_site_fract_x
_atom_site_fract_y
_atom_site_fract_z
_atom_site_occupancy
Mg1 Mg 0.0000 0.0000 0.0000 1
Mg2 Mg 0.2500 0.2500 0.2500 1
Sc1 Sc 0.2500 0.2500 0.7500 1
In1 In 0.0000 0.0000 0.5000 1
```

Summary:
ΔH_f (0 K)	-0.26	eV per atom
DOS(E_F)	0.294	states/eV per atom